NiTeRu, optimized geometry, DFT GGA-PBE; E_form (uncorrected) = 0.2861 eV/atom; mass density = 10.26 g/cm³; crystal system = tetragonal; DFT total energy = -17.340 eV/f.u.
1.0
4.888 -0.003 0.003
3.785 3.094 0.008
1.104 0.389 3.073
Ru Te Ni
1 1 1
direct
0.667 0.667 0.333
0.341 0.341 0.659
0.993 0.993 0.007

***

Nb2HRh, optimized geometry, DFT GGA-PBE; mass density = 7.64 g/cm³; crystal system = tetragonal; DFT total energy = -29.429 eV/f.u.
1.0
-2.271 -3.572 -2.254
3.506 -3.021 1.255
-2.072 -4.500 4.119
Nb Rh H
4 2 2
direct
0.499 0.125 0.250
0.875 0.749 0.750
0.251 0.625 0.250
0.375 0.501 0.750
0.750 0.250 0.500
0.000 0.000 0.000
0.250 0.750 0.500
0.500 0.500 0.000